DFT (PBE) results for an optimized crystal structure of MnIrRh14.

Calculated values
E = -121.38 eV/f.u.
total moment = 2.42 Bohr magnetons per cell

a b c (Å): 5.4279 5.4279 7.6840
angles (deg): 90.00 90.00 90.00
With the nearest neighbours (Å) after each atom.
Fractional positions:
Rh1 0.6253 0.1247 0.7486  1 Mn 2.71, 10 Rh 2.71-2.72, 1 Ir 2.71
Rh2 0.1247 0.6253 0.2514  1 Mn 2.71, 10 Rh 2.71-2.72, 1 Ir 2.71
Rh3 0.6252 0.6252 0.2514  1 Mn 2.71, 10 Rh 2.71-2.72, 1 Ir 2.71
Rh4 0.8750 0.3750 0.5000  8 Rh 2.71, 2 Mn 2.71, 2 Ir 2.71
Rh5 0.1247 0.6253 0.7486  1 Mn 2.71, 10 Rh 2.71-2.72, 1 Ir 2.71
Rh6 0.3750 0.8750 0.0000  12 Rh 2.71-2.72
Rh7 0.3750 0.3750 0.0000  12 Rh 2.71-2.72
Rh8 0.8750 0.3750 0.0000  12 Rh 2.71-2.72
Rh9 0.1248 0.1248 0.2514  1 Mn 2.71, 10 Rh 2.71-2.72, 1 Ir 2.71
Rh10 0.8750 0.8750 0.0000  12 Rh 2.71-2.72
Rh11 0.6253 0.1247 0.2514  1 Mn 2.71, 10 Rh 2.71-2.72, 1 Ir 2.71
Rh12 0.6252 0.6252 0.7486  1 Mn 2.71, 10 Rh 2.71-2.72, 1 Ir 2.71
Rh13 0.3750 0.8750 0.5000  8 Rh 2.71, 2 Mn 2.71, 2 Ir 2.71
Rh14 0.1248 0.1248 0.7486  1 Mn 2.71, 10 Rh 2.71-2.72, 1 Ir 2.71
Mn1 0.8750 0.8750 0.5000  12 Rh 2.71
Ir1 0.3750 0.3750 0.5000  12 Rh 2.71